## Ag2Os (PBE-GGA)

Data for Ag2Os after structural relaxation.

Results
Its total energy is -27.0 eV for the cell shown. The energy above the most stable polymorph in this dataset is 700 meV per atom. The space group is No. 194.

The structure in CIF format:
```
data_Ag2Os
_symmetry_space_group_name_H-M 'P 1'
_symmetry_Int_Tables_number 1
_cell_length_a 4.6091
_cell_length_b 4.6091
_cell_length_c 5.5686
_cell_angle_alpha 90.00
_cell_angle_beta 90.00
_cell_angle_gamma 120.00
loop_
_symmetry_equiv_pos_as_xyz
'x,y,z'
loop_
_atom_site_label
_atom_site_fract_x
_atom_site_fract_y
_atom_site_fract_z
Ag1 0.0000 0.0000 0.0000
Ag2 0.0000 0.0000 0.5000
Ag3 0.3333 0.6667 0.2500
Ag4 0.6667 0.3333 0.7500
Os1 0.3333 0.6667 0.7500
Os2 0.6667 0.3333 0.2500
```